InHBr3: relaxed, PBE.

Results
Energy above the lowest structure with this stoichiometry: 0.364 eV per atom
Crystal system: cubic

The structure in CIF format:
```
data_InHBr3
_cell_length_a 4.8588
_cell_length_b 4.8588
_cell_length_c 4.8588
_cell_angle_alpha 90.00
_cell_angle_beta 90.00
_cell_angle_gamma 90.00
_space_group_name_H-M_alt 'P m -3 m'
_space_group_IT_number 221
_space_group_name_Hall '-P 4 2 3'
loop_
_atom_site_label
_atom_site_type_symbol
_atom_site_fract_x
_atom_site_fract_y
_atom_site_fract_z
In1 In 0.0000 0.0000 0.0000
H1 H 0.5000 0.5000 0.5000
Br1 Br 0.0000 0.5000 0.5000
```

---

In4H3Br4: relaxed, PBE.

Results
Final energy: -2.80 eV per atom
Crystal system: monoclinic

The structure in CIF format:
```
data_In4H3Br4
_cell_length_a 12.3145
_cell_length_b 3.9100
_cell_length_c 12.3526
_cell_angle_alpha 90.00
_cell_angle_beta 90.99
_cell_angle_gamma 90.00
_space_group_name_H-M_alt 'C 1 m 1'
_space_group_IT_number 8
_space_group_name_Hall 'C -2y'
loop_
_atom_site_label
_atom_site_type_symbol
_atom_site_fract_x
_atom_site_fract_y
_atom_site_fract_z
In1 In 0.0000 0.0000 0.0000
In2 In 0.0049 0.0000 0.5065
In3 In 0.2396 0.0000 0.7568
In4 In 0.2718 0.0000 0.2555
H1 H 0.2520 0.5000 0.7606
H2 H 0.4918 0.0000 0.0006
H3 H 0.4974 0.0000 0.5007
Br1 Br 0.0076 0.0000 0.7510
Br2 Br 0.2334 0.0000 0.0032
Br3 Br 0.2393 0.0000 0.5172
Br4 Br 0.4667 0.5000 0.2497
```

---

InHBr3: relaxed, PBE.

Results
Energy above the lowest structure with this stoichiometry: 0.000 eV per atom
Crystal system: triclinic

The structure in CIF format:
```
data_InHBr3
_cell_length_a 4.1177
_cell_length_b 7.7634
_cell_length_c 9.9680
_cell_angle_alpha 85.57
_cell_angle_beta 89.92
_cell_angle_gamma 74.87
_space_group_name_H-M_alt 'P -1'
_space_group_IT_number 2
_space_group_name_Hall '-P 1'
loop_
_atom_site_label
_atom_site_type_symbol
_atom_site_fract_x
_atom_site_fract_y
_atom_site_fract_z
In1 In 0.2063 0.0820 0.3125
H1 H 0.4076 0.6802 0.0644
Br1 Br 0.0575 0.3948 0.2043
Br2 Br 0.2200 0.0652 0.8192
Br3 Br 0.3498 0.7957 0.4945
```

---

In3H4Br: relaxed, PBE.

Results
Final energy: -2.79 eV per atom
Crystal system: triclinic

The structure in CIF format:
```
data_In3H4Br
_cell_length_a 5.7577
_cell_length_b 5.8631
_cell_length_c 5.8752
_cell_angle_alpha 103.93
_cell_angle_beta 101.25
_cell_angle_gamma 118.23
_space_group_name_H-M_alt 'P -1'
_space_group_IT_number 2
_space_group_name_Hall '-P 1'
loop_
_atom_site_label
_atom_site_type_symbol
_atom_site_fract_x
_atom_site_fract_y
_atom_site_fract_z
In1 In 0.0000 0.0000 0.0000
In2 In 0.3289 0.6749 0.4975
H1 H 0.1772 0.8274 0.9924
H2 H 0.2597 0.2615 0.3842
Br1 Br 0.5000 0.5000 0.0000
```

---

InHBr2: relaxed, PBE.

Results
Final energy: -2.01 eV per atom
Crystal system: trigonal

The structure in CIF format:
```
data_InHBr2
_cell_length_a 3.5401
_cell_length_b 3.5401
_cell_length_c 24.8339
_cell_angle_alpha 90.00
_cell_angle_beta 90.00
_cell_angle_gamma 120.00
_space_group_name_H-M_alt 'R -3 m'
_space_group_IT_number 166
_space_group_name_Hall '-R 3 2"'
loop_
_atom_site_label
_atom_site_type_symbol
_atom_site_fract_x
_atom_site_fract_y
_atom_site_fract_z
In1 In 0.0000 0.0000 0.0000
H1 H 0.0000 0.0000 0.5000
Br1 Br 0.0000 0.0000 0.1124
```

---

InHBr2: relaxed, PBE.

Results
Final energy: -2.18 eV per atom
Crystal system: cubic

The structure in CIF format:
```
data_InHBr2
_cell_length_a 7.1945
_cell_length_b 7.1945
_cell_length_c 7.1945
_cell_angle_alpha 90.00
_cell_angle_beta 90.00
_cell_angle_gamma 90.00
_space_group_name_H-M_alt 'F m -3 m'
_space_group_IT_number 225
_space_group_name_Hall '-F 4 2 3'
loop_
_atom_site_label
_atom_site_type_symbol
_atom_site_fract_x
_atom_site_fract_y
_atom_site_fract_z
In1 In 0.0000 0.0000 0.0000
H1 H 0.0000 0.0000 0.5000
Br1 Br 0.2500 0.2500 0.2500
```

---

In2H2Br3: relaxed, PBE.

Results
Final energy: -2.81 eV per atom
Crystal system: triclinic

The structure in CIF format:
```
data_In2H2Br3
_cell_length_a 3.8510
_cell_length_b 5.7817
_cell_length_c 9.2138
_cell_angle_alpha 108.18
_cell_angle_beta 90.05
_cell_angle_gamma 90.10
_space_group_name_H-M_alt 'P -1'
_space_group_IT_number 2
_space_group_name_Hall '-P 1'
loop_
_atom_site_label
_atom_site_type_symbol
_atom_site_fract_x
_atom_site_fract_y
_atom_site_fract_z
In1 In 0.0007 0.3428 0.1874
H1 H 0.4994 0.6598 0.8170
Br1 Br 0.0000 0.5000 0.5000
Br2 Br 0.0008 0.1787 0.8561
```

---

InHBr4: relaxed, PBE.

Results
Final energy: -2.71 eV per atom
Crystal system: triclinic

The structure in CIF format:
```
data_InHBr4
_cell_length_a 5.9005
_cell_length_b 6.6201
_cell_length_c 11.6272
_cell_angle_alpha 89.99
_cell_angle_beta 89.71
_cell_angle_gamma 83.22
_space_group_name_H-M_alt 'P -1'
_space_group_IT_number 2
_space_group_name_Hall '-P 1'
loop_
_atom_site_label
_atom_site_type_symbol
_atom_site_fract_x
_atom_site_fract_y
_atom_site_fract_z
In1 In 0.0101 0.2525 0.2783
H1 H 0.4847 0.7594 0.8659
Br1 Br 0.2481 0.4716 0.6303
Br2 Br 0.2510 0.9309 0.8692
Br3 Br 0.2566 0.9748 0.3741
Br4 Br 0.2691 0.4184 0.1257
```

---

In2H2Br: relaxed, PBE.

Results
Final energy: -2.65 eV per atom
Crystal system: triclinic

The structure in CIF format:
```
data_In2H2Br
_cell_length_a 3.6926
_cell_length_b 3.7162
_cell_length_c 8.3456
_cell_angle_alpha 77.39
_cell_angle_beta 77.28
_cell_angle_gamma 60.76
_space_group_name_H-M_alt 'P -1'
_space_group_IT_number 2
_space_group_name_Hall '-P 1'
loop_
_atom_site_label
_atom_site_type_symbol
_atom_site_fract_x
_atom_site_fract_y
_atom_site_fract_z
In1 In 0.2437 0.2264 0.2952
H1 H 0.1128 0.1421 0.6329
Br1 Br 0.0000 0.0000 0.0000
```

---

InHBr3: relaxed, PBE.

Results
Energy above the lowest structure with this stoichiometry: 0.143 eV per atom
Crystal system: cubic

The structure in CIF format:
```
data_InHBr3
_cell_length_a 5.4400
_cell_length_b 5.4400
_cell_length_c 5.4400
_cell_angle_alpha 90.00
_cell_angle_beta 90.00
_cell_angle_gamma 90.00
_space_group_name_H-M_alt 'P m -3 m'
_space_group_IT_number 221
_space_group_name_Hall '-P 4 2 3'
loop_
_atom_site_label
_atom_site_type_symbol
_atom_site_fract_x
_atom_site_fract_y
_atom_site_fract_z
In1 In 0.0000 0.0000 0.0000
H1 H 0.5000 0.5000 0.5000
Br1 Br 0.0000 0.0000 0.5000
```

---

In2HBr: relaxed, PBE.

Results
Energy above the lowest structure with this stoichiometry: 0.000 eV per atom
Crystal system: tetragonal

The structure in CIF format:
```
data_In2HBr
_cell_length_a 6.2878
_cell_length_b 6.2878
_cell_length_c 11.6233
_cell_angle_alpha 90.00
_cell_angle_beta 90.00
_cell_angle_gamma 90.00
_space_group_name_H-M_alt 'I -4 2 d'
_space_group_IT_number 122
_space_group_name_Hall 'I -4 2bw'
loop_
_atom_site_label
_atom_site_type_symbol
_atom_site_fract_x
_atom_site_fract_y
_atom_site_fract_z
In1 In 0.1301 0.2500 0.1250
H1 H 0.0000 0.0000 0.0000
Br1 Br 0.0000 0.0000 0.5000
```

---

InH2Br2: relaxed, PBE.

Results
Final energy: -2.97 eV per atom
Crystal system: monoclinic

The structure in CIF format:
```
data_InH2Br2
_cell_length_a 5.2510
_cell_length_b 6.0937
_cell_length_c 9.3714
_cell_angle_alpha 90.00
_cell_angle_beta 103.62
_cell_angle_gamma 90.00
_space_group_name_H-M_alt 'P 1 21/m 1'
_space_group_IT_number 11
_space_group_name_Hall '-P 2yb'
loop_
_atom_site_label
_atom_site_type_symbol
_atom_site_fract_x
_atom_site_fract_y
_atom_site_fract_z
In1 In 0.0628 0.2500 0.1688
H1 H 0.1147 0.2500 0.5266
H2 H 0.2566 0.2500 0.5669
Br1 Br 0.0603 0.7500 0.1312
Br2 Br 0.4048 0.7500 0.7540
```

---

In2HIrBr: relaxed, PBE.

Results
Final energy: -3.99 eV per atom
Crystal system: tetragonal

The structure in CIF format:
```
data_In2HIrBr
_cell_length_a 5.3615
_cell_length_b 5.3615
_cell_length_c 3.5961
_cell_angle_alpha 90.00
_cell_angle_beta 90.00
_cell_angle_gamma 90.00
_space_group_name_H-M_alt 'P 4/m m m'
_space_group_IT_number 123
_space_group_name_Hall '-P 4 2'
loop_
_atom_site_label
_atom_site_type_symbol
_atom_site_fract_x
_atom_site_fract_y
_atom_site_fract_z
In1 In 0.0000 0.5000 0.0000
H1 H 0.0000 0.0000 0.5000
Ir1 Ir 0.0000 0.0000 0.0000
Br1 Br 0.5000 0.5000 0.5000
```

---

KInHBr2: relaxed, PBE.

Results
Final energy: -2.94 eV per atom
Crystal system: tetragonal

The structure in CIF format:
```
data_KInHBr2
_cell_length_a 5.9422
_cell_length_b 5.9422
_cell_length_c 4.0046
_cell_angle_alpha 90.00
_cell_angle_beta 90.00
_cell_angle_gamma 90.00
_space_group_name_H-M_alt 'P 4/m m m'
_space_group_IT_number 123
_space_group_name_Hall '-P 4 2'
loop_
_atom_site_label
_atom_site_type_symbol
_atom_site_fract_x
_atom_site_fract_y
_atom_site_fract_z
K1 K 0.0000 0.0000 0.0000
In1 In 0.5000 0.5000 0.5000
H1 H 0.5000 0.5000 0.0000
Br1 Br 0.0000 0.5000 0.5000
```

---

La2InHBr: relaxed, PBE.

Results
Final energy: -3.74 eV per atom
Crystal system: tetragonal

The structure in CIF format:
```
data_La2InHBr
_cell_length_a 5.9024
_cell_length_b 5.9024
_cell_length_c 3.8974
_cell_angle_alpha 90.00
_cell_angle_beta 90.00
_cell_angle_gamma 90.00
_space_group_name_H-M_alt 'P 4/m m m'
_space_group_IT_number 123
_space_group_name_Hall '-P 4 2'
loop_
_atom_site_label
_atom_site_type_symbol
_atom_site_fract_x
_atom_site_fract_y
_atom_site_fract_z
La1 La 0.0000 0.5000 0.0000
In1 In 0.0000 0.0000 0.5000
H1 H 0.5000 0.5000 0.5000
Br1 Br 0.5000 0.5000 0.0000
```

---

MgInHBr2: relaxed, PBE.

Results
Final energy: -2.90 eV per atom
Crystal system: tetragonal

The structure in CIF format:
```
data_MgInHBr2
_cell_length_a 5.6003
_cell_length_b 5.6003
_cell_length_c 3.8002
_cell_angle_alpha 90.00
_cell_angle_beta 90.00
_cell_angle_gamma 90.00
_space_group_name_H-M_alt 'P 4/m m m'
_space_group_IT_number 123
_space_group_name_Hall '-P 4 2'
loop_
_atom_site_label
_atom_site_type_symbol
_atom_site_fract_x
_atom_site_fract_y
_atom_site_fract_z
Mg1 Mg 0.0000 0.0000 0.0000
In1 In 0.5000 0.5000 0.5000
H1 H 0.0000 0.0000 0.5000
Br1 Br 0.0000 0.5000 0.0000
```

---

InH4Br3N: relaxed, PBE.

Results
Final energy: -3.91 eV per atom
Crystal system: triclinic

The structure in CIF format:
```
data_InH4Br3N
_cell_length_a 7.8852
_cell_length_b 8.0643
_cell_length_c 13.5697
_cell_angle_alpha 96.64
_cell_angle_beta 90.27
_cell_angle_gamma 90.92
_space_group_name_H-M_alt 'P 1'
_space_group_IT_number 1
_space_group_name_Hall 'P 1'
loop_
_atom_site_label
_atom_site_type_symbol
_atom_site_fract_x
_atom_site_fract_y
_atom_site_fract_z
In1 In 0.0000 0.0000 0.0000
In2 In 0.0002 0.4853 0.9870
In3 In 0.4822 0.8924 0.4883
In4 In 0.4839 0.3858 0.4944
H1 H 0.0356 0.7291 0.2552
H2 H 0.0530 0.6730 0.3723
H3 H 0.1148 0.0743 0.6519
H4 H 0.3680 0.7911 0.8324
H5 H 0.4316 0.1508 0.1181
H6 H 0.4433 0.0998 0.2369
H7 H 0.4933 0.6252 0.8307
H8 H 0.5487 0.7754 0.7611
H9 H 0.5506 0.9903 0.1428
H10 H 0.5649 0.8070 0.8885
H11 H 0.6182 0.1828 0.1829
H12 H 0.8565 0.6818 0.3184
H13 H 0.9206 0.0705 0.5931
H14 H 0.9323 0.0842 0.7202
H15 H 0.9837 0.9078 0.6496
H16 H 0.9914 0.5311 0.2756
Br1 Br 0.0728 0.7759 0.8370
Br2 Br 0.1848 0.8176 0.1154
Br3 Br 0.2067 0.6950 0.5246
Br4 Br 0.2785 0.1861 0.9667
Br5 Br 0.2791 0.0715 0.3788
Br6 Br 0.4125 0.1114 0.6525
Br7 Br 0.5564 0.6666 0.3294
Br8 Br 0.6821 0.7196 0.6071
Br9 Br 0.7247 0.8029 0.0394
Br10 Br 0.7553 0.0839 0.4467
Br11 Br 0.7986 0.1580 0.8787
Br12 Br 0.9218 0.2385 0.1600
N1 N 0.4938 0.7518 0.8282
N2 N 0.5099 0.1079 0.1714
N3 N 0.9843 0.6544 0.3057
N4 N 0.9879 0.0363 0.6537
```

---

InH6BrN2: relaxed, PBE.

Results
Final energy: -4.53 eV per atom
Crystal system: monoclinic

The structure in CIF format:
```
data_InH6BrN2
_cell_length_a 6.5676
_cell_length_b 16.1737
_cell_length_c 5.8979
_cell_angle_alpha 90.00
_cell_angle_beta 115.25
_cell_angle_gamma 90.00
_space_group_name_H-M_alt 'C 1 2/c 1'
_space_group_IT_number 15
_space_group_name_Hall '-C 2yc'
loop_
_atom_site_label
_atom_site_type_symbol
_atom_site_fract_x
_atom_site_fract_y
_atom_site_fract_z
In1 In 0.0000 0.1914 0.2500
H1 H 0.1598 0.4209 0.4506
H2 H 0.1707 0.0162 0.6026
H3 H 0.2492 0.1032 0.7621
Br1 Br 0.0000 0.3604 0.7500
N1 N 0.2012 0.0776 0.5870
```

---

NaInHBr2: relaxed, PBE.

Results
Final energy: -2.82 eV per atom
Crystal system: tetragonal

The structure in CIF format:
```
data_NaInHBr2
_cell_length_a 5.8605
_cell_length_b 5.8605
_cell_length_c 3.9379
_cell_angle_alpha 90.00
_cell_angle_beta 90.00
_cell_angle_gamma 90.00
_space_group_name_H-M_alt 'P 4/m m m'
_space_group_IT_number 123
_space_group_name_Hall '-P 4 2'
loop_
_atom_site_label
_atom_site_type_symbol
_atom_site_fract_x
_atom_site_fract_y
_atom_site_fract_z
Na1 Na 0.0000 0.0000 0.0000
In1 In 0.5000 0.5000 0.5000
H1 H 0.5000 0.5000 0.0000
Br1 Br 0.0000 0.5000 0.5000
```

---

InPH2Br: relaxed, PBE.

Results
Final energy: -2.82 eV per atom
Crystal system: tetragonal

The structure in CIF format:
```
data_InPH2Br
_cell_length_a 3.6894
_cell_length_b 3.6894
_cell_length_c 8.8878
_cell_angle_alpha 90.00
_cell_angle_beta 90.00
_cell_angle_gamma 90.00
_space_group_name_H-M_alt 'P 4/m m m'
_space_group_IT_number 123
_space_group_name_Hall '-P 4 2'
loop_
_atom_site_label
_atom_site_type_symbol
_atom_site_fract_x
_atom_site_fract_y
_atom_site_fract_z
In1 In 0.0000 0.0000 0.0000
P1 P 0.5000 0.5000 0.0000
H1 H 0.0000 0.5000 0.5000
Br1 Br 0.5000 0.5000 0.5000
```

---

We obtain spin magnetization values of 0.002; 0.000; 1.985; 0.000; 0.000; 1.365; 0.000; 0.000; 0.000; 0.993; 0.000; 0.000; 0.000; 0.000; 0.000; 0.000; 0.000; 0.000; 0.000; 0.065 μB per cell for the records listed above, in that order.